one.
Here is a relaxed CuSnI2O crystal from the Alexandria database. Energies are from PBE.

The structure in POSCAR format:
```
CuSnI2O
1.0
-4.601 -0.584 3.834
3.441 -3.357 3.619
1.190 3.302 1.931
I O Sn Cu
2 1 1 1
direct
0.000 0.500 0.000
0.500 0.000 0.000
0.000 0.000 0.500
0.000 0.000 0.000
0.500 0.500 0.500
```

Density   5.18 g/cm3

two.
Here is a relaxed CuSnI2O crystal from the Alexandria database. Energies are from PBE.

The structure in POSCAR format:
```
CuSnI2O
1.0
5.800 0.000 0.000
0.000 5.800 0.000
0.000 0.000 3.690
I O Sn Cu
2 1 1 1
direct
0.000 0.500 0.000
0.500 0.000 0.000
0.000 0.000 0.500
0.500 0.500 0.500
0.000 0.000 0.000
```

Density   6.05 g/cm3

The relative energies come out as one 8.2; two 0.0, with values in kJ/mol of atoms.

one.
Here is a relaxed CuSnIO2 crystal from the Alexandria database. Energies are from PBE.

The structure in POSCAR format:
```
CuSnIO2
1.0
-0.426 0.863 -3.823
-3.751 -1.205 0.146
-1.922 6.174 1.608
I O Sn Cu
1 2 1 1
direct
0.000 0.000 0.500
0.000 0.500 0.000
0.500 0.000 0.000
0.000 0.000 0.000
0.500 0.500 0.500
```

Density   5.47 g/cm3

two.
Here is a relaxed CuSnIO2 crystal from the Alexandria database. Energies are from PBE.

The structure in POSCAR format:
```
CuSnIO2
1.0
-3.098 -2.836 0.439
1.964 -1.624 3.366
-2.505 3.202 3.007
I O Sn Cu
1 2 1 1
direct
0.000 0.000 0.500
0.000 0.500 0.000
0.500 0.000 0.000
0.500 0.500 0.500
0.000 0.000 0.000
```

Density   6.28 g/cm3

The relative energies come out as one 0.0; two 55.4, with values in kJ/mol of atoms.

one.
Here is a relaxed TaCuIO2 crystal from the Alexandria database. Energies are from PBE.

The structure in POSCAR format:
```
TaCuIO2
1.0
3.972 0.000 0.000
0.000 3.972 0.000
0.000 0.000 4.910
I O Cu Ta
1 2 1 1
direct
0.000 0.000 0.500
0.000 0.500 0.000
0.500 0.000 0.000
0.000 0.000 0.000
0.500 0.500 0.500
```

Density   8.65 g/cm3

two.
Here is a relaxed TaCuIO2 crystal from the Alexandria database. Energies are from PBE.

The structure in POSCAR format:
```
TaCuIO2
1.0
-0.788 3.812 0.363
-0.882 0.180 -3.804
-5.847 -1.332 1.293
I O Cu Ta
1 2 1 1
direct
0.000 0.000 0.500
0.000 0.500 0.000
0.500 0.000 0.000
0.500 0.500 0.500
0.000 0.000 0.000
```

Density   7.15 g/cm3

The relative energies come out as one 180.1; two 0.0, with values in kJ/mol of atoms.

one.
Here is a relaxed TaCuI2O crystal from the Alexandria database. Energies are from PBE.

The structure in POSCAR format:
```
TaCuI2O
1.0
-4.489 2.356 2.404
1.611 -2.015 4.982
2.041 3.229 0.646
I O Cu Ta
2 1 1 1
direct
0.000 0.500 0.000
0.500 0.000 0.000
0.000 0.000 0.500
0.500 0.500 0.500
0.000 0.000 0.000
```

Density   7.00 g/cm3

two.
Here is a relaxed TaCuI2O crystal from the Alexandria database. Energies are from PBE.

The structure in POSCAR format:
```
TaCuI2O
1.0
5.511 0.000 0.000
0.000 5.511 0.000
0.000 0.000 3.521
I O Cu Ta
2 1 1 1
direct
0.000 0.500 0.000
0.500 0.000 0.000
0.000 0.000 0.500
0.000 0.000 0.000
0.500 0.500 0.500
```

Density   7.99 g/cm3

The relative energies come out as one 0.0; two 84.3, with values in kJ/mol of atoms.

one.
Here is a relaxed CuTcIO2 crystal from the Alexandria database. Energies are from PBE.

The structure in POSCAR format:
```
CuTcIO2
1.0
3.803 0.000 0.000
0.000 3.803 0.000
0.000 0.000 6.042
I O Tc Cu
1 2 1 1
direct
0.000 0.000 0.500
0.000 0.500 0.000
0.500 0.000 0.000
0.000 0.000 0.000
0.500 0.500 0.500
```

Density   6.09 g/cm3

two.
Here is a relaxed CuTcIO2 crystal from the Alexandria database. Energies are from PBE.

The structure in POSCAR format:
```
CuTcIO2
1.0
-3.288 0.726 1.943
0.512 -3.245 2.078
2.901 2.906 3.824
I O Tc Cu
1 2 1 1
direct
0.000 0.000 0.500
0.000 0.500 0.000
0.500 0.000 0.000
0.500 0.500 0.500
0.000 0.000 0.000
```

Density   6.27 g/cm3

The relative energies come out as one 0.0; two 118.2, with values in kJ/mol of atoms.

one.
Here is a relaxed CuTeIO2 crystal from the Alexandria database. Energies are from PBE.

The structure in POSCAR format:
```
CuTeIO2
1.0
-2.422 2.250 -2.272
-2.028 -3.284 -1.092
-4.172 0.826 5.265
I Te O Cu
1 1 2 1
direct
0.000 0.000 0.500
0.000 0.000 0.000
0.000 0.500 0.000
0.500 0.000 0.000
0.500 0.500 0.500
```

Density   5.34 g/cm3

two.
Here is a relaxed CuTeIO2 crystal from the Alexandria database. Energies are from PBE.

The structure in POSCAR format:
```
CuTeIO2
1.0
-0.421 -3.583 2.135
3.620 0.752 1.976
-2.443 2.409 3.561
I Te O Cu
1 1 2 1
direct
0.000 0.000 0.500
0.500 0.500 0.500
0.000 0.500 0.000
0.500 0.000 0.000
0.000 0.000 0.000
```

Density   6.69 g/cm3

The relative energies come out as one 0.0; two 65.1, with values in kJ/mol of atoms.